# 1
{
  "formula": "NaTbCl4",
  "functional": "GGA-PBE",
  "state": "optimized geometry",
  "space_group": "C2/c",
  "n_ef_per_ev_cell": 0.000,
  "rho_g_cm3": 3.09,
  "e_form_raw_kcal_per_mol_atoms": -48.6,
  "cell": [[-0.179, 6.082, 2.597], [-0.060, -3.342, 6.187], [7.630, -1.216, -4.236]],
  "species": ["Na", "Na", "Tb", "Tb", "Cl", "Cl", "Cl", "Cl", "Cl", "Cl", "Cl", "Cl"],
  "fractional_positions": [[0.426, 0.676, 0.352], [0.574, 0.324, 0.648], [0.834, 0.084, 0.168], [0.166, 0.916, 0.832], [0.286, 0.977, 0.599], [0.086, 0.817, 0.088], [0.187, 0.378, 0.401], [0.498, 0.729, 0.912], [0.714, 0.023, 0.401], [0.813, 0.622, 0.599], [0.914, 0.183, 0.912], [0.502, 0.271, 0.088]]
}

***

# 2
{
  "formula": "Ac3HgIrRh",
  "functional": "GGA-PBE",
  "state": "optimized geometry",
  "space_group": "P2_1/m",
  "n_ef_per_ev_cell": 9.244,
  "rho_g_cm3": 10.33,
  "ef_kcal_per_mol_atoms": -11.48,
  "cell": [[-2.731, 3.219, 1.342], [-5.455, -1.867, -6.623], [-2.075, -5.455, 8.862]],
  "species": ["Ac", "Ac", "Ac", "Ac", "Ac", "Ac", "Hg", "Hg", "Ir", "Ir", "Rh", "Rh"],
  "fractional_positions": [[0.250, 0.740, 0.476], [0.750, 0.921, 0.137], [0.750, 0.475, 0.142], [0.750, 0.260, 0.524], [0.250, 0.525, 0.858], [0.250, 0.079, 0.863], [0.750, 0.739, 0.740], [0.250, 0.261, 0.260], [0.250, 0.719, 0.176], [0.750, 0.281, 0.824], [0.250, 0.102, 0.602], [0.750, 0.898, 0.398]]
}

***

# 3
{
  "formula": "BeIrAu",
  "functional": "GGA-PBE",
  "state": "optimized geometry",
  "space_group": "P3m1",
  "n_ef_per_ev_cell": 1.829,
  "rho_g_cm3": 15.81,
  "ef_kcal_per_mol_atoms": -2.13,
  "cell": [[2.785, 0.000, 0.000], [-1.392, 2.412, 0.000], [0.000, 0.000, 6.226]],
  "species": ["Be", "Ir", "Au"],
  "fractional_positions": [[0.333, 0.667, 0.212], [0.667, 0.333, 0.480], [0.000, 0.000, 0.894]]
}

***

# 4
{
  "formula": "Ca2Ho2Hg7",
  "functional": "GGA-PBE",
  "state": "optimized geometry",
  "space_group": "Cmmm",
  "n_ef_per_ev_cell": 10.152,
  "rho_g_cm3": 8.93,
  "ef_kcal_per_mol_atoms": -2.75,
  "cell": [[6.723, -0.003, -0.496], [0.003, 7.587, 0.003], [-0.914, -0.003, 6.679]],
  "species": ["Ca", "Ca", "Ho", "Ho", "Hg", "Hg", "Hg", "Hg", "Hg", "Hg", "Hg"],
  "fractional_positions": [[0.700, 0.000, 0.300], [0.300, 0.000, 0.700], [0.803, 0.500, 0.803], [0.197, 0.500, 0.197], [0.000, 0.296, 0.500], [0.500, 0.704, 0.000], [0.000, 0.704, 0.500], [0.500, 0.296, 0.000], [0.000, 0.000, 0.000], [0.500, 0.703, 0.500], [0.500, 0.297, 0.500]]
}

***

# 5
{
  "formula": "VInAsW2",
  "functional": "GGA-PBE",
  "state": "optimized geometry",
  "space_group": "P4/mmm",
  "n_ef_per_ev_cell": 4.192,
  "rho_g_cm3": 10.13,
  "ef_kcal_per_mol_atoms": 30.39,
  "cell": [[4.715, 0.000, 0.000], [0.000, 4.487, 0.000], [0.000, 0.000, 4.715]],
  "species": ["As", "V", "W", "W", "In"],
  "fractional_positions": [[0.000, 0.500, 0.000], [0.000, 0.000, 0.000], [0.000, 0.000, 0.500], [0.500, 0.000, 0.000], [0.500, 0.500, 0.500]]
}

***

# 6
{
  "formula": "AlCdMo2",
  "functional": "GGA-PBE",
  "state": "optimized geometry",
  "space_group": "Cm",
  "n_ef_per_ev_cell": 2.875,
  "rho_g_cm3": 8.23,
  "ef_kcal_per_mol_atoms": 5.46,
  "cell": [[-4.264, -1.862, -1.583], [-2.890, -3.957, -0.377], [-2.570, 0.826, 4.362]],
  "species": ["Mo", "Mo", "Al", "Cd"],
  "fractional_positions": [[0.999, 0.999, 0.981], [0.756, 0.756, 0.759], [0.496, 0.496, 0.500], [0.249, 0.249, 0.260]]
}

***

# 7
{
  "formula": "Ti3HgBi",
  "functional": "GGA-PBE",
  "state": "optimized geometry",
  "space_group": "Pm-3m",
  "n_ef_per_ev_cell": 7.070,
  "rho_g_cm3": 7.14,
  "ef_kcal_per_mol_atoms": 18.47,
  "cell": [[5.048, 0.000, 0.000], [0.000, 5.048, 0.000], [0.000, 0.000, 5.048]],
  "species": ["Ti", "Ti", "Ti", "Bi", "Hg"],
  "fractional_positions": [[0.000, 0.500, 0.000], [0.000, 0.000, 0.500], [0.500, 0.000, 0.000], [0.500, 0.500, 0.500], [0.000, 0.000, 0.000]]
}

***

# 8
{
  "formula": "NaGaF",
  "functional": "GGA-PBE",
  "state": "optimized geometry",
  "space_group": "P-1",
  "n_ef_per_ev_cell": 1.209,
  "rho_g_cm3": 3.25,
  "e_form_raw_kcal_per_mol_atoms": -33.4,
  "cell": [[-1.954, 1.173, -6.159], [0.514, -0.527, -7.270], [-4.103, -3.551, 10.169]],
  "species": ["Ga", "Ga", "Na", "Na", "F", "F"],
  "fractional_positions": [[0.931, 0.258, 0.506], [0.448, 0.393, 0.927], [0.904, 0.681, 0.454], [0.475, 0.969, 0.979], [0.611, 0.350, 0.566], [0.768, 0.301, 0.867]]
}

***

# 9
{
  "formula": "SmPu2Zn2Sn2",
  "functional": "GGA-PBE",
  "state": "optimized geometry",
  "space_group": "R-3m",
  "n_ef_per_ev_cell": 14.688,
  "rho_g_cm3": 9.88,
  "ef_kcal_per_mol_atoms": -5.90,
  "cell": [[4.634, 0.000, 0.000], [2.317, 4.013, 0.000], [2.317, 1.338, 9.102]],
  "species": ["Sm", "Pu", "Pu", "Zn", "Zn", "Sn", "Sn"],
  "fractional_positions": [[0.000, 0.000, 0.000], [0.144, 0.144, 0.567], [0.856, 0.856, 0.433], [0.574, 0.574, 0.278], [0.426, 0.426, 0.722], [0.734, 0.734, 0.797], [0.266, 0.266, 0.203]]
}

***

# 10
{
  "formula": "Li2As2Os",
  "functional": "GGA-PBE",
  "state": "optimized geometry",
  "space_group": "P4/mbm",
  "n_ef_per_ev_cell": 2.247,
  "rho_g_cm3": 7.22,
  "ef_kcal_per_mol_atoms": -7.65,
  "cell": [[6.289, 0.000, 0.000], [0.000, 6.289, 0.000], [0.000, 0.000, 4.115]],
  "species": ["As", "As", "As", "As", "Os", "Os", "Li", "Li", "Li", "Li"],
  "fractional_positions": [[0.360, 0.860, 0.000], [0.860, 0.640, 0.000], [0.640, 0.140, 0.000], [0.140, 0.360, 0.000], [0.000, 0.000, 0.000], [0.500, 0.500, 0.000], [0.177, 0.677, 0.500], [0.677, 0.823, 0.500], [0.823, 0.323, 0.500], [0.323, 0.177, 0.500]]
}

***

# 11
{
  "formula": "MgNi2Sb",
  "functional": "GGA-PBE",
  "state": "optimized geometry",
  "space_group": "P4mm",
  "n_ef_per_ev_cell": 2.157,
  "rho_g_cm3": 6.95,
  "e_form_raw_kcal_per_mol_atoms": -1.9,
  "cell": [[3.426, 0.000, 0.000], [0.000, 3.426, 0.000], [0.000, 0.000, 5.359]],
  "species": ["Mg", "Ni", "Ni", "Sb"],
  "fractional_positions": [[0.500, 0.500, 0.795], [0.000, 0.000, 0.985], [0.500, 0.500, 0.264], [0.000, 0.000, 0.456]]
}

***

# 12
{
  "formula": "Mg2AgTe2",
  "functional": "GGA-PBE",
  "state": "optimized geometry",
  "space_group": "P4/mbm",
  "n_ef_per_ev_cell": 3.389,
  "rho_g_cm3": 5.52,
  "e_form_raw_kcal_per_mol_atoms": -6.4,
  "cell": [[-5.577, 2.025, 5.298], [-5.243, -4.677, -3.730], [1.066, -3.007, 2.272]],
  "species": ["Mg", "Mg", "Mg", "Mg", "Te", "Te", "Te", "Te", "Ag", "Ag"],
  "fractional_positions": [[0.361, 0.861, 0.000], [0.861, 0.639, 0.000], [0.639, 0.139, 0.000], [0.139, 0.361, 0.000], [0.168, 0.668, 0.500], [0.668, 0.832, 0.500], [0.832, 0.332, 0.500], [0.332, 0.168, 0.500], [0.000, 0.000, 0.000], [0.500, 0.500, 0.000]]
}

***

The total energy results, record by record, are as follows: -4.330 -5.304 -5.381 -1.508 -7.165 -6.343 -4.773 -3.520 -6.532 -5.203 -4.404 -2.742 eV/atom.